Here is crystalline CaCrTe2O8 at its relaxed geometry from Alexandria. Energies are from PBE+U.

abc: 6.1496 6.1496 6.1496
angles: 107.49 107.49 113.51
Fractional coordinates of all 12 atoms:
1 Cr 0.2500 0.7500 0.5000
2 Te 0.7500 0.2500 0.5000
3 O 0.7604 0.0707 0.6896
4 O 0.9293 0.2396 0.3104
5 O 0.4842 0.6786 0.8055
6 O 0.8731 0.6786 0.1945
7 Ca 0.0000 0.0000 0.0000
8 O 0.9293 0.6189 0.6896
9 O 0.3214 0.5158 0.1945
10 Te 0.5000 0.5000 0.0000
11 O 0.3214 0.1269 0.8055
12 O 0.3811 0.0707 0.3104

Computed properties:
- Spin magnetization: 4.0 μB/cell
- Final energy: -5.899 eV/atom
- Space-group type: I-4m2 (119)